1.
A geometry-optimized BaTaCl2 structure, computed with GGA-PBE.

Properties
* uncorrected formation energy: -0.50 eV per atom
* excess energy over the best structure of this formula in the dataset: 0 meV/atom
* magnetization: 0.00 μB/f.u.

Structure (POSCAR):
```
BaTaCl2
1.0
-2.860 -0.511 3.720
0.423 -3.391 -0.140
5.378 -1.222 3.968
Cl Ba Ta
2 1 1
direct
0.000 0.034 0.059
0.500 0.390 0.344
0.500 0.697 0.730
0.000 0.379 0.368
```


2.
A geometry-optimized BaTaCl2 structure, computed with GGA-PBE.

Properties
* uncorrected formation energy: -0.46 eV per atom
* excess energy over the best structure of this formula in the dataset: 35 meV/atom
* magnetization: 0.00 μB/f.u.

Structure (POSCAR):
```
BaTaCl2
1.0
6.166 -0.052 0.009
2.173 5.771 -0.009
-3.065 -4.471 2.940
Cl Ba Ta
2 1 1
direct
0.938 0.938 0.000
0.562 0.562 0.000
0.250 0.750 0.500
0.750 0.250 0.500
```


3.
A geometry-optimized BaTaCl structure, computed with GGA-PBE.

Properties
* uncorrected formation energy: 0.15 eV per atom
* excess energy over the best structure of this formula in the dataset: 0 meV/atom
* magnetization: 0.00 μB/f.u.

Structure (POSCAR):
```
BaTaCl
1.0
3.406 0.000 0.000
-1.703 2.950 0.000
0.000 0.000 7.727
Cl Ba Ta
1 1 1
direct
0.667 0.333 0.400
0.000 0.000 0.980
0.333 0.667 0.620
```


4.
A geometry-optimized BaTaCl2 structure, computed with GGA-PBE.

Properties
* uncorrected formation energy: -0.09 eV per atom
* excess energy over the best structure of this formula in the dataset: 406 meV/atom
* magnetization: 2.20 μB/f.u.

Structure (POSCAR):
```
BaTaCl2
1.0
-1.024 1.400 3.056
3.097 -3.361 2.577
3.950 3.445 -0.254
Cl Ba Ta
2 1 1
direct
0.000 0.000 0.000
0.000 0.500 0.500
0.500 0.000 0.500
0.500 0.500 0.000
```


5.
A geometry-optimized BaTaCl2 structure, computed with GGA-PBE.

Properties
* uncorrected formation energy: -0.09 eV per atom
* excess energy over the best structure of this formula in the dataset: 410 meV/atom
* magnetization: 3.64 μB/f.u.

Structure (POSCAR):
```
BaTaCl2
1.0
-3.890 -5.365 1.998
1.991 -5.598 3.549
0.317 6.912 -0.163
Cl Ba Ta
2 1 1
direct
0.000 0.000 0.000
0.250 0.750 0.500
0.750 0.250 0.500
0.500 0.500 0.000
```


6.
A geometry-optimized BaTaCl2 structure, computed with GGA-PBE.

Properties
* uncorrected formation energy: -0.19 eV per atom
* excess energy over the best structure of this formula in the dataset: 304 meV/atom
* magnetization: 2.21 μB/f.u.

Structure (POSCAR):
```
BaTaCl2
1.0
-2.200 -2.537 -0.560
5.035 -3.938 -1.948
0.583 -1.514 4.569
Cl Ba Ta
2 1 1
direct
0.000 0.000 0.000
0.500 0.500 0.000
0.000 0.500 0.500
0.500 0.000 0.500
```


7.
A geometry-optimized BaTaCl2 structure, computed with GGA-PBE.

Properties
* uncorrected formation energy: 0.30 eV per atom
* excess energy over the best structure of this formula in the dataset: 798 meV/atom
* magnetization: 4.96 μB/f.u.

Structure (POSCAR):
```
BaTaCl2
1.0
-0.697 -3.169 4.447
-2.429 -4.917 -0.477
2.962 -4.602 0.592
Cl Ba Ta
2 1 1
direct
0.000 0.000 0.000
0.250 0.250 0.250
0.500 0.500 0.500
0.750 0.750 0.750
```


8.
A geometry-optimized BaTaCl structure, computed with GGA-PBE.

Properties
* uncorrected formation energy: 0.83 eV per atom
* excess energy over the best structure of this formula in the dataset: 686 meV/atom
* magnetization: 1.97 μB/f.u.

Structure (POSCAR):
```
BaTaCl
1.0
-4.826 0.253 -1.873
-4.050 -0.425 3.206
-2.956 4.137 1.004
Cl Ba Ta
1 1 1
direct
0.750 0.750 0.750
0.500 0.500 0.500
0.000 0.000 0.000
```